# 1
InAuN2O: relaxed, PBE.

Formation energy (no corrections) = 1509 meV/atom

Structure (extended XYZ):
```
5
Lattice="4.2462 0.0000 0.0000 0.0000 4.2462 0.0000 0.0000 0.0000 4.2596" Properties=species:S:1:pos:R:3 pbc="T T T"
In 0.0000 0.0000 0.0000
Au 2.1231 2.1231 2.1298
N 0.0000 2.1231 0.0000
N 2.1231 0.0000 0.0000
O 0.0000 0.0000 2.1298
```

=====

# 2
MnRuRh: relaxed, PBE.

E above lowest polymorph = 100 meV/atom
Energy of formation = 14 kJ/mol of formula units

Structure (extended XYZ):
```
3
Lattice="2.6756 0.0000 0.0000 -1.3378 2.3172 0.0000 0.0000 0.0000 6.4477" Properties=species:S:1:pos:R:3 pbc="T T T"
Mn 0.0000 0.0000 0.0000
Ru 0.0000 1.5448 2.0231
Rh 1.3378 0.7724 4.3440
```

=====

# 3
GdZrZnOs: relaxed, PBE.

Energy of formation = -91 kJ/mol of formula units

Structure (extended XYZ):
```
4
Lattice="0.0000 3.4098 3.4098 3.4098 0.0000 3.4098 3.4098 3.4098 0.0000" Properties=species:S:1:pos:R:3 pbc="T T T"
Gd 0.0000 0.0000 0.0000
Zr 3.4098 3.4098 3.4098
Zn 5.1147 5.1147 5.1147
Os 1.7049 1.7049 1.7049
```

=====

# 4
K3SbH2: relaxed, PBE.

Uncorrected energy = -30.36 eV per cell

Structure (extended XYZ):
```
12
Lattice="5.9946 -2.0885 0.0000 5.9946 2.0885 0.0000 -1.4989 0.0000 13.7138" Properties=species:S:1:pos:R:3 pbc="T T T"
K 0.6342 0.0000 4.1202
K 0.9365 0.0000 7.9991
K 2.8407 0.0000 12.6950
K 7.6495 0.0000 1.0188
K 9.5537 0.0000 5.7148
K 9.8559 0.0000 9.5936
Sb 4.0753 0.0000 2.6118
Sb 6.4148 0.0000 11.1021
H 0.4708 0.0000 10.9855
H 3.5718 0.0000 7.6928
H 6.9184 0.0000 6.0210
H 10.0194 0.0000 2.7284
```

=====

# 5
Al2PCl: relaxed, PBE.

E above lowest polymorph = 200 meV/atom
Formation energy (no corrections) = -115 meV/atom

Structure (extended XYZ):
```
4
Lattice="1.8184 -2.4961 0.0000 1.8184 2.4961 0.0000 0.0000 0.0000 9.1713" Properties=species:S:1:pos:R:3 pbc="T T T"
Al 0.0000 0.0000 0.0000
Al 1.8184 0.0000 2.1036
P 1.8184 0.0000 7.6493
Cl 0.0000 0.0000 3.7869
```

=====

# 6
Ga12Sb5Au3: relaxed, PBE.

Formation energy (no corrections) = -15 meV/atom

Structure (extended XYZ):
```
80
Lattice="-7.9122 7.9122 7.9122 7.9122 -7.9122 7.9122 7.9122 7.9122 -7.9122" Properties=species:S:1:pos:R:3 pbc="T T T"
Ga 7.6846 -1.3975 2.4462
Ga 12.0960 -1.5099 2.5586
Ga 2.4462 -0.2276 1.3975
Ga 9.4221 5.3536 -4.1837
Ga 10.3584 0.2276 1.3975
Ga 9.4221 -2.5586 4.1837
Ga 1.3975 2.4462 -0.2276
Ga 10.4708 3.7285 -1.5099
Ga 5.3536 4.1837 -1.5099
Ga 6.5147 2.4462 0.2276
Ga -0.2276 1.3975 2.4462
Ga 4.1837 -1.5099 5.3536
Ga 7.6846 6.5147 -2.4462
Ga 4.1837 1.5099 2.5586
Ga 6.5147 -2.4462 7.6846
Ga 5.3536 -4.1837 9.4221
Ga 2.5586 4.1837 1.5099
Ga 9.3097 5.4660 0.2276
Ga 2.4462 7.6846 -1.3975
Ga 9.4221 2.5586 3.7285
Ga 1.5099 2.5586 4.1837
Ga 2.4462 0.2276 6.5147
Ga 4.1837 9.4221 -2.5586
Ga 7.6846 1.3975 5.4660
Ga 0.2276 6.5147 2.4462
Ga 3.7285 -1.5099 10.4708
Ga 5.4660 7.6846 1.3975
Ga 6.4023 5.3536 3.7285
Ga -1.5099 5.3536 4.1837
Ga 5.4660 0.2276 9.3097
Ga -1.3975 2.4462 7.6846
Ga 5.3536 3.7285 6.4023
Ga 2.5586 12.0960 -1.5099
Ga 1.3975 10.3584 0.2276
Ga 3.7285 6.4023 5.3536
Ga 0.2276 1.3975 10.3584
Ga 3.7285 9.4221 2.5586
Ga 8.1399 6.5147 5.4660
Ga 1.3975 5.4660 7.6846
Ga 2.5586 3.7285 9.4221
Ga -2.5586 4.1837 9.4221
Ga 6.5147 5.4660 8.1399
Ga -1.5099 10.4708 3.7285
Ga -2.4462 7.6846 6.5147
Ga -1.5099 2.5586 12.0960
Ga 5.4660 8.1399 6.5147
Ga -4.1837 9.4221 5.3536
Ga 0.2276 9.3097 5.4660
Sb 0.0000 0.0000 0.0000
Sb 3.9561 3.9561 -3.9561
Sb 3.9561 -3.9561 3.9561
Sb 7.9122 0.0000 0.0000
Sb 11.8684 1.9781 0.0000
Sb 7.9122 -3.9561 5.9342
Sb 5.9342 7.9122 -3.9561
Sb 5.9342 0.0000 3.9561
Sb 3.9561 5.9342 0.0000
Sb 7.9122 3.9561 1.9781
Sb -3.9561 3.9561 3.9561
Sb 0.0000 7.9122 0.0000
Sb 0.0000 0.0000 7.9122
Sb 3.9561 3.9561 3.9561
Sb 0.0000 3.9561 5.9342
Sb 3.9561 1.9781 7.9122
Sb 1.9781 7.9122 3.9561
Sb 1.9781 0.0000 11.8684
Sb 0.0000 11.8684 1.9781
Sb -3.9561 5.9342 7.9122
Au 3.9561 1.9781 0.0000
Au 7.9122 3.9561 -1.9781
Au 1.9781 0.0000 3.9561
Au 9.8903 0.0000 3.9561
Au 0.0000 3.9561 1.9781
Au 3.9561 -1.9781 7.9122
Au 3.9561 9.8903 0.0000
Au 7.9122 3.9561 5.9342
Au -1.9781 7.9122 3.9561
Au 5.9342 7.9122 3.9561
Au 0.0000 3.9561 9.8903
Au 3.9561 5.9342 7.9122
```

=====

What did we get for total magnetization? Answer: 3.95 1.61 7.06 0.00 0.00 0.00 μB/f.u., in the order shown.